This record from Alexandria describes a relaxed CaMn2GeO6 crystal. The functional is GGA+U.

```
CaMn2GeO6
1.0
2.591 1.496 4.892
-2.591 1.496 4.892
0.000 -2.992 4.892
Ca Mn Ge O
1 2 1 6
Direct
0.000 0.000 0.000 Ca
0.272 0.272 0.272 Mn
0.792 0.792 0.792 Mn
0.475 0.475 0.475 Ge
0.074 0.644 0.451 O
0.198 0.572 0.847 O
0.451 0.074 0.644 O
0.572 0.847 0.198 O
0.644 0.451 0.074 O
0.847 0.198 0.572 O
```

Properties
The energy comes out at -7.03 eV per atom. As for the crystal system: trigonal. The calculation puts the magnetic moment at 8.000 μB/f.u. As for the space group: R3.